{
  "formula": "HgTe2Se",
  "functional": "GGA-PBEsol",
  "state": "optimized geometry",
  "de_polymorph_ev_per_fu": 0.00,
  "formation_energy_uncorrected_mev_per_atom": 142,
  "e_tot_ev_per_atom": -2.725,
  "lattice": [[-3.676, 1.439, 0.623], [-1.022, -3.407, 1.841], [2.196, 2.819, 6.437]],
  "species": ["Te", "Te", "Se", "Hg"],
  "fractional_positions": [[0.500, 0.000, 0.500], [0.000, 0.000, 0.000], [0.000, 0.500, 0.500], [0.500, 0.500, 0.000]]
}